Entry 1:
Below is a relaxed structure of Cu2IrSe, with properties calculated at the PBE level.

Cell lengths 3.046, 4.363, 4.319 Å; angles 90.00, 90.00, 90.00 degrees
Element x y z (fractional)
Cu (0.500, 0.500, 0.000)
Cu (0.000, 0.000, 0.000)
Ir (0.500, 0.000, 0.500)
Se (0.000, 0.500, 0.500)

Total magnetization (μB/cell): 0.0
Formation energy (no corrections) (eV/atom): 0.31



Entry 2:
Below is a relaxed structure of YSc3Se2, with properties calculated at the PBE level.

Cell lengths 3.781, 7.799, 10.135 Å; angles 108.82, 90.00, 104.03 degrees
Element x y z (fractional)
Sc (0.375, 0.751, 0.326)
Sc (0.283, 0.565, 0.622)
Sc (0.717, 0.435, 0.378)
Sc (0.625, 0.249, 0.674)
Sc (0.060, 0.119, 0.404)
Sc (0.940, 0.881, 0.596)
Y (0.122, 0.245, 0.040)
Y (0.878, 0.755, 0.960)
Se (0.771, 0.541, 0.151)
Se (0.518, 0.035, 0.177)
Se (0.482, 0.965, 0.823)
Se (0.229, 0.459, 0.849)

Total magnetization (μB/cell): 0.0
Formation energy (no corrections) (eV/atom): -1.06



Entry 3:
Below is a relaxed structure of BaLa2W, with properties calculated at the PBE level.

Cell lengths 4.699, 5.101, 5.101 Å; angles 90.00, 90.00, 90.00 degrees
Site moments in Bohr magnetons follow the coordinates.
Element x y z (fractional)
La (0.000, 0.000, 0.000)  -0.04
La (0.000, 0.500, 0.500)  -0.04
Ba (0.500, 0.000, 0.500)  -0.02
W (0.500, 0.500, 0.000)  0.61

Energy above the lowest structure with this stoichiometry (kJ per mole of atoms): 40.44
Total magnetization (μB/cell): 0.6
DFT formation energy (kcal/mol of atoms): 20.8



Entry 4:
Below is a relaxed structure of AcNpCo4, with properties calculated at the PBE level.

Cell lengths 5.140, 5.140, 5.140 Å; angles 60.00, 60.00, 60.00 degrees
Site moments in Bohr magnetons follow the coordinates.
Element x y z (fractional)
Co (0.627, 0.627, 0.118)  1.04
Co (0.627, 0.627, 0.627)  1.04
Co (0.627, 0.118, 0.627)  1.04
Co (0.118, 0.627, 0.627)  1.04
Ac (0.250, 0.250, 0.250)  -0.21
Np (0.000, 0.000, 0.000)  -3.85

Total magnetization (μB/cell): 0.4
DFT formation energy (kcal/mol of atoms): 2.7



Entry 5:
Below is a relaxed structure of KTmPdF6, with properties calculated at the PBE level.

Cell lengths 6.304, 5.703, 5.728 Å; angles 87.01, 84.72, 56.94 degrees
Site moments in Bohr magnetons follow the coordinates.
Element x y z (fractional)
F (0.682, 0.382, 0.764)  0.00
F (0.375, 0.631, 0.338)  0.00
F (0.650, 0.020, 0.332)  0.00
F (0.995, 0.628, 0.662)  0.00
F (0.931, 0.393, 0.231)  0.00
F (0.333, 0.015, 0.671)  0.00
Pd (0.333, 0.333, 0.501)  0.05
Tm (0.682, 0.637, 0.500)  0.00
K (0.020, 0.960, 0.001)  0.00

Total magnetization (μB/cell): 0.1
Formation energy (no corrections) (eV/atom): -2.82



Entry 6:
Below is a relaxed structure of NiSe2Br, with properties calculated at the PBE level.

Cell lengths 3.304, 3.304, 9.653 Å; angles 90.00, 90.00, 120.00 degrees
Element x y z (fractional)
Se (0.667, 0.333, 0.302)
Se (0.333, 0.667, 0.672)
Ni (0.333, 0.667, 0.434)
Br (0.000, 0.000, 0.048)

Energy above the lowest structure with this stoichiometry (kJ per mole of atoms): 40.80
Total magnetization (μB/cell): 0.0
Formation energy (no corrections) (eV/atom): 0.18